TlH2I | PBE | optimized geometry

As for the excess energy over the best structure of this formula in the dataset: 677 meV per atom.

The structure belongs to space group I4_1/amd (No. 141, origin choice 2); the cell edges are 6.2322, 6.2322 and 8.8405 Å and the angles 90.00°, 90.00° and 90.00°. Symmetry generates all atoms from Tl at (0.0000, 0.2500, 0.3750), H at (0.0000, 0.0000, 0.5000) and I at (0.0000, 0.2500, 0.8750).


Tl2H3I | PBE | optimized geometry

The uncorrected energy is -133.8 eV/cell.

The structure belongs to space group C2/c (No. 15); the cell edges are 11.6624, 15.5626 and 7.4655 Å and the angles 90.00°, 114.53° and 90.00°. Symmetry generates all atoms from Tl at (0.0000, 0.0238, 0.2500), Tl at (0.0000, 0.1980, 0.7500), Tl at (0.0000, 0.2505, 0.2500), Tl at (0.0000, 0.4719, 0.2500), H at (0.0108, 0.1385, 0.4302), H at (0.2451, 0.1469, 0.4377), H at (0.2487, 0.3524, 0.6595) and I at (0.1985, 0.3850, 0.0513).


Tl3H5I12 | PBE | optimized geometry

The uncorrected energy is -286.1 eV/cell.

The structure belongs to space group Ia-3d (No. 230); the cell edges are 17.0189, 17.0189 and 17.0189 Å and the angles 90.00°, 90.00° and 90.00°. Symmetry generates all atoms from Tl at (0.0000, 0.2500, 0.1250), H at (0.0000, 0.0000, 0.0000), H at (0.0000, 0.2500, 0.3750) and I at (0.0422, 0.0453, 0.6497).


TlH2I | PBE | optimized geometry

As for the excess energy over the best structure of this formula in the dataset: 29 meV per atom.

The structure belongs to space group P2_1/m (No. 11); the cell edges are 4.3157, 5.6360 and 9.0101 Å and the angles 90.00°, 103.80° and 90.00°. Symmetry generates all atoms from Tl at (0.0768, 0.2500, 0.1514), H at (0.2673, 0.6832, 0.5397) and I at (0.4108, 0.2500, 0.8222).


TlH2I | PBE | optimized geometry

As for the excess energy over the best structure of this formula in the dataset: 0 meV per atom.

The structure belongs to space group P2_1/m (No. 11); the cell edges are 4.9614, 4.9063 and 8.9251 Å and the angles 90.00°, 90.04° and 90.00°. Symmetry generates all atoms from Tl at (0.2501, 0.2500, 0.1978), H at (0.2495, 0.6733, 0.5167) and I at (0.2500, 0.2500, 0.8271).


Tl3HI | PBE | optimized geometry

As for the excess energy over the best structure of this formula in the dataset: 517 meV per atom.

The structure belongs to space group Pm-3m (No. 221); the cell edges are 6.5290, 6.5290 and 6.5290 Å and the angles 90.00°, 90.00° and 90.00°. Symmetry generates all atoms from Tl at (0.0000, 0.0000, 0.5000), H at (0.5000, 0.5000, 0.5000) and I at (0.0000, 0.0000, 0.0000).


Tl2HI | PBE | optimized geometry

As for the excess energy over the best structure of this formula in the dataset: 197 meV per atom.

The structure belongs to space group Fm-3m (No. 225); the cell edges are 7.9577, 7.9577 and 7.9577 Å and the angles 90.00°, 90.00° and 90.00°. Symmetry generates all atoms from Tl at (0.2500, 0.2500, 0.2500), H at (0.0000, 0.0000, 0.0000) and I at (0.0000, 0.0000, 0.5000).


Y2TlHI | PBE | optimized geometry

The uncorrected energy is -20.9 eV/cell.

The structure belongs to space group P4/mmm (No. 123); the cell edges are 5.4759, 5.4759 and 3.9329 Å and the angles 90.00°, 90.00° and 90.00°. Symmetry generates all atoms from Y at (0.0000, 0.5000, 0.0000), Tl at (0.0000, 0.0000, 0.5000), H at (0.0000, 0.0000, 0.0000) and I at (0.5000, 0.5000, 0.5000).


TmH2I3 | PBE | optimized geometry

The uncorrected energy is -33.6 eV/cell.

The structure belongs to space group P6_3/mmc (No. 194); the cell edges are 9.1964, 9.1964 and 7.5029 Å and the angles 90.00°, 90.00° and 120.00°. Symmetry generates all atoms from Tm at (0.0000, 0.0000, 0.0000), H at (0.3333, 0.6667, 0.0264) and I at (0.1484, 0.2968, 0.7500).


TmH2I | PBE | optimized geometry

The uncorrected energy is -46.8 eV/cell.

The structure belongs to space group R-3m (No. 166, hexagonal axes); the cell edges are 3.7407, 3.7407 and 15.5142 Å and the angles 90.00°, 90.00° and 120.00°. Symmetry generates all atoms from Tm at (0.0000, 0.0000, 0.0000), H at (0.0000, 0.0000, 0.3086) and I at (0.0000, 0.0000, 0.5000).


UH2I2 | PBE | optimized geometry

The uncorrected energy is -72.1 eV/cell.

The structure belongs to space group R-3m (No. 166, hexagonal axes); the cell edges are 3.8167, 3.8167 and 26.8723 Å and the angles 90.00°, 90.00° and 120.00°. Symmetry generates all atoms from U at (0.0000, 0.0000, 0.0000), H at (0.0000, 0.0000, 0.3179) and I at (0.0000, 0.0000, 0.4202).


UHI3 | PBE | optimized geometry

As for the excess energy over the best structure of this formula in the dataset: 50 meV per atom.

The structure belongs to space group Pnma (No. 62); the cell edges are 16.4271, 4.6046 and 10.9485 Å and the angles 90.00°, 90.00° and 90.00°. Symmetry generates all atoms from U at (0.0218, 0.2500, 0.1937), H at (0.0085, 0.7500, 0.6337), I at (0.0858, 0.2500, 0.7176), I at (0.1063, 0.7500, 0.0334) and I at (0.1721, 0.2500, 0.3302).


UH4I5 | PBE | optimized geometry

The uncorrected energy is -73.5 eV/cell.

The structure belongs to space group I4 (No. 79); the cell edges are 11.4095, 11.4095 and 6.0842 Å and the angles 90.00°, 90.00° and 90.00°. Symmetry generates all atoms from U at (0.0000, 0.0000, 0.0000), H at (0.0082, 0.4681, 0.0378), I at (0.0000, 0.0000, 0.4999) and I at (0.1322, 0.2146, 0.9996).


UHI3 | PBE | optimized geometry

As for the excess energy over the best structure of this formula in the dataset: 0 meV per atom.

The structure belongs to space group C2/m (No. 12); the cell edges are 10.5171, 9.5863 and 7.7920 Å and the angles 90.00°, 121.23° and 90.00°. Symmetry generates all atoms from U at (0.1214, 0.0000, 0.3806), H at (0.0867, 0.0000, 0.6288), I at (0.0793, 0.3156, 0.2987) and I at (0.1898, 0.0000, 0.0373).


UH6I12 | PBE | optimized geometry

The uncorrected energy is -162.6 eV/cell.

The structure belongs to space group R-3 (No. 148, hexagonal axes); the cell edges are 13.3621, 13.3621 and 15.5799 Å and the angles 90.00°, 90.00° and 120.00°. Symmetry generates all atoms from U at (0.0000, 0.0000, 0.0000), H at (0.0529, 0.1336, 0.6290), I at (0.0038, 0.1771, 0.8931) and I at (0.0222, 0.1914, 0.3741).


UH2I4 | PBE | optimized geometry

The uncorrected energy is -25.5 eV/cell.

The structure belongs to space group P-1 (No. 2); the cell edges are 3.7993, 7.5425 and 7.6513 Å and the angles 83.11°, 75.65° and 75.50°. Symmetry generates all atoms from U at (0.0000, 0.0000, 0.0000), H at (0.1516, 0.7372, 0.9571), I at (0.2721, 0.1806, 0.2779) and I at (0.4594, 0.2884, 0.7944).


U2H2I7 | PBE | optimized geometry

The uncorrected energy is -88.8 eV/cell.

The structure belongs to space group Cm (No. 8); the cell edges are 21.9214, 4.0422 and 13.4530 Å and the angles 90.00°, 127.40° and 90.00°. Symmetry generates all atoms from U at (0.0000, 0.0000, 0.0000), U at (0.0720, 0.0000, 0.6344), H at (0.0869, 0.5000, 0.3789), H at (0.1629, 0.5000, 0.9773), I at (0.0051, 0.5000, 0.1970), I at (0.1429, 0.5000, 0.1028), I at (0.1576, 0.5000, 0.5579), I at (0.1892, 0.5000, 0.8666), I at (0.3631, 0.0000, 0.8447), I at (0.4431, 0.0000, 0.4455) and I at (0.4899, 0.5000, 0.7583).


UH2I5 | PBE | optimized geometry

The uncorrected energy is -110.3 eV/cell.

The structure belongs to space group C2/c (No. 15); the cell edges are 3.8919, 15.9652 and 16.5758 Å and the angles 90.00°, 90.07° and 90.00°. Symmetry generates all atoms from U at (0.0000, 0.2307, 0.2500), H at (0.9998, 0.2551, 0.6959), I at (0.0001, 0.1487, 0.0838), I at (0.0000, 0.4222, 0.7500) and I at (0.0007, 0.3731, 0.3629).


VHI2 | PBE | optimized geometry

The uncorrected energy is -55.7 eV/cell.

The structure belongs to space group I-42d (No. 122); the cell edges are 6.0060, 6.0060 and 11.8562 Å and the angles 90.00°, 90.00° and 90.00°. Symmetry generates all atoms from V at (0.0000, 0.0000, 0.0000), H at (0.0000, 0.0000, 0.5000) and I at (0.2251, 0.2500, 0.6250).